# VOsF3 GGA+U relaxed
# Energy = -4.981 eV/atom
# Density of states at the Fermi level = 7.36 states/eV per cell
data_VOsF3
_cell_length_a 4.2387
_cell_length_b 4.2387
_cell_length_c 4.2387
_cell_angle_alpha 90.00
_cell_angle_beta 90.00
_cell_angle_gamma 90.00
_space_group_name_H-M_alt 'P m -3 m'
_space_group_IT_number 221
_space_group_name_Hall '-P 4 2 3'
loop_
_atom_site_label
_atom_site_type_symbol
_atom_site_fract_x
_atom_site_fract_y
_atom_site_fract_z
V1 V 0.0000 0.0000 0.0000
Os1 Os 0.5000 0.5000 0.5000
F1 F 0.0000 0.5000 0.5000